First-principles (PBE) data for a relaxed structure of K2MgSb2, as listed in Alexandria.

Cell: 7.6999 7.6999 5.7422 Å, 90.00 90.00 90.00°
Fractional positions:
K1 0.1656 0.3344 0.0000
K2 0.3344 0.8344 0.0000
K3 0.6656 0.1656 0.0000
K4 0.8344 0.6656 0.0000
Mg1 0.0000 0.0000 0.5000
Mg2 0.5000 0.5000 0.5000
Sb1 0.1358 0.6358 0.5000
Sb2 0.3642 0.1358 0.5000
Sb3 0.6358 0.8642 0.5000
Sb4 0.8642 0.3642 0.5000

Calculated values
Density of states at the Fermi level ... 0.09 states/eV/atom
VASP energy ... -13.94 eV per formula unit
Polymorph energy (0 for the lowest one) ... 0.000 eV/atom
Formation energy (no corrections) ... -0.3815 eV per atom
Space group ... P4/mbm (127)


First-principles (PBE) data for a relaxed structure of KMgSb2, as listed in Alexandria.

Cell: 3.1610 5.8951 6.3106 Å, 90.00 94.30 90.00°
Fractional positions:
K1 0.0000 0.0000 0.0000
Mg1 0.7750 0.5000 0.3731
Sb1 0.4601 0.0000 0.4989
Sb2 0.4916 0.5000 0.8300

Calculated values
Density of states at the Fermi level ... 0.34 states/eV/atom
VASP energy ... -11.32 eV per formula unit
Formation energy (no corrections) ... -0.0965 eV per atom
Space group ... Pm (6)


First-principles (PBE) data for a relaxed structure of K3MgSb, as listed in Alexandria.

Cell: 6.7853 6.7853 6.7853 Å, 90.00 90.00 90.00°
Fractional positions:
K1 0.0000 0.0000 0.5000
K2 0.0000 0.5000 0.0000
K3 0.5000 0.0000 0.0000
Mg1 0.5000 0.5000 0.5000
Sb1 0.0000 0.0000 0.0000

Calculated values
Density of states at the Fermi level ... 0.00 states/eV/atom
VASP energy ... -8.93 eV per formula unit
Polymorph energy (0 for the lowest one) ... 0.000 eV/atom
Formation energy (no corrections) ... 0.0149 eV per atom
Space group ... Pm-3m (221)


First-principles (PBE) data for a relaxed structure of KMg14Sb, as listed in Alexandria.

Cell: 6.5823 6.5823 10.5481 Å, 90.00 90.00 120.00°
Fractional positions:
K1 0.0000 0.0000 0.0000
Mg1 0.0069 0.5034 0.0000
Mg2 0.1718 0.3436 0.2623
Mg3 0.1718 0.3436 0.7377
Mg4 0.1718 0.8282 0.2623
Mg5 0.1718 0.8282 0.7377
Mg6 0.4966 0.5034 0.0000
Mg7 0.4966 0.9931 0.0000
Mg8 0.5047 0.0093 0.5000
Mg9 0.5047 0.4953 0.5000
Mg10 0.6564 0.8282 0.2623
Mg11 0.6564 0.8282 0.7377
Mg12 0.6667 0.3333 0.2457
Mg13 0.6667 0.3333 0.7543
Mg14 0.9907 0.4953 0.5000
Sb1 0.0000 0.0000 0.5000

Calculated values
Density of states at the Fermi level ... 0.58 states/eV/atom
VASP energy ... -26.57 eV per formula unit
Formation energy (no corrections) ... 0.0611 eV per atom
Space group ... P-6m2 (187)


First-principles (PBE) data for a relaxed structure of K2MgSb, as listed in Alexandria.

Cell: 4.9312 4.9312 5.5237 Å, 90.00 90.00 90.00°
Fractional positions:
K1 0.0000 0.5000 0.0000
K2 0.5000 0.0000 0.0000
Mg1 0.0000 0.0000 0.5000
Sb1 0.5000 0.5000 0.5000

Calculated values
Density of states at the Fermi level ... 0.38 states/eV/atom
VASP energy ... -8.29 eV per formula unit
Polymorph energy (0 for the lowest one) ... 0.231 eV/atom
Formation energy (no corrections) ... -0.0949 eV per atom
Space group ... P4/mmm (123)


First-principles (PBE) data for a relaxed structure of KMgSb2, as listed in Alexandria.

Cell: 3.9775 3.9775 8.1597 Å, 90.00 90.00 90.00°
Fractional positions:
K1 0.0000 0.0000 0.0000
Mg1 0.5000 0.5000 0.3269
Sb1 0.0000 0.0000 0.5188
Sb2 0.5000 0.5000 0.6945

Calculated values
Density of states at the Fermi level ... 0.44 states/eV/atom
VASP energy ... -11.16 eV per formula unit
Formation energy (no corrections) ... -0.0549 eV per atom
Space group ... P4mm (99)


First-principles (PBE) data for a relaxed structure of KMgSc2Sb, as listed in Alexandria.

Cell: 5.1912 5.1912 5.2477 Å, 90.00 90.00 90.00°
Fractional positions:
K1 0.0000 0.0000 0.0000
Mg1 0.0000 0.0000 0.5000
Sc1 0.0000 0.5000 0.0000
Sc2 0.5000 0.0000 0.0000
Sb1 0.5000 0.5000 0.5000

Calculated values
Density of states at the Fermi level ... 1.29 states/eV/atom
VASP energy ... -13.08 eV per formula unit
Formation energy (no corrections) ... 1.2797 eV per atom
Space group ... P4/mmm (123)


First-principles (PBE) data for a relaxed structure of K3MgSb2Se6, as listed in Alexandria.

Cell: 7.1605 7.1605 8.1005 Å, 98.48 98.48 119.98°
Fractional positions:
K1 0.0000 0.0000 0.0000
K2 0.3292 0.6708 0.0000
K3 0.6708 0.3292 0.0000
Mg1 0.5000 0.5000 0.5000
Sb1 0.1663 0.8337 0.5000
Sb2 0.8337 0.1663 0.5000
Se1 0.1092 0.4337 0.3006
Se2 0.2421 0.2421 0.7011
Se3 0.4337 0.1092 0.3006
Se4 0.5663 0.8908 0.6994
Se5 0.7579 0.7579 0.2989
Se6 0.8908 0.5663 0.6994

Calculated values
Density of states at the Fermi level ... 0.59 states/eV/atom
VASP energy ... -43.80 eV per formula unit
Formation energy (no corrections) ... -0.8133 eV per atom
Space group ... C2/m (12)


First-principles (PBE) data for a relaxed structure of K2MgSbSe4, as listed in Alexandria.

Cell: 6.7899 6.7899 6.7899 Å, 105.48 105.48 117.79°
Fractional positions:
K1 0.0000 0.5000 0.5000
K2 0.5000 0.0000 0.5000
Mg1 0.0000 0.0000 0.0000
Sb1 0.5000 0.5000 0.0000
Se1 0.0755 0.0755 0.6558
Se2 0.4197 0.4197 0.3442
Se3 0.5803 0.9245 0.0000
Se4 0.9245 0.5803 0.0000

Calculated values
Density of states at the Fermi level ... 0.64 states/eV/atom
VASP energy ... -28.56 eV per formula unit
Formation energy (no corrections) ... -0.8389 eV per atom
Space group ... I-42m (121)


First-principles (PBE) data for a relaxed structure of KSrMg2Sb, as listed in Alexandria.

Cell: 5.6810 5.6810 6.7066 Å, 90.00 90.00 90.00°
Fractional positions:
K1 0.0000 0.0000 0.0000
Sr1 0.0000 0.0000 0.5000
Mg1 0.0000 0.5000 0.0000
Mg2 0.5000 0.0000 0.0000
Sb1 0.5000 0.5000 0.5000

Calculated values
Density of states at the Fermi level ... 0.39 states/eV/atom
VASP energy ... -6.08 eV per formula unit
Formation energy (no corrections) ... 0.8017 eV per atom
Space group ... P4/mmm (123)


First-principles (PBE) data for a relaxed structure of K3MgSb2Te6, as listed in Alexandria.

Cell: 7.6363 7.6363 8.7375 Å, 98.38 98.38 119.99°
Fractional positions:
K1 0.0000 0.0000 0.0000
K2 0.3276 0.6724 0.0000
K3 0.6724 0.3276 0.0000
Mg1 0.5000 0.5000 0.5000
Sb1 0.1661 0.8339 0.5000
Sb2 0.8339 0.1661 0.5000
Te1 0.1081 0.4335 0.2996
Te2 0.2419 0.2419 0.7029
Te3 0.4335 0.1081 0.2996
Te4 0.5665 0.8919 0.7004
Te5 0.7581 0.7581 0.2971
Te6 0.8919 0.5665 0.7004

Calculated values
Density of states at the Fermi level ... 0.52 states/eV/atom
VASP energy ... -39.27 eV per formula unit
Formation energy (no corrections) ... -0.6074 eV per atom
Space group ... C2/m (12)


First-principles (PBE) data for a relaxed structure of K2MgTiSb, as listed in Alexandria.

Cell: 5.8944 5.8944 5.5613 Å, 90.00 90.00 90.00°
Fractional positions:
K1 0.0000 0.5000 0.0000
K2 0.5000 0.0000 0.0000
Mg1 0.0000 0.0000 0.0000
Ti1 0.0000 0.0000 0.5000
Sb1 0.5000 0.5000 0.5000

Calculated values
Density of states at the Fermi level ... 0.98 states/eV/atom
VASP energy ... -11.61 eV per formula unit
Formation energy (no corrections) ... 0.8393 eV per atom
Space group ... P4/mmm (123)